Record 1
DFT (PBE-GGA) results for a relaxed PrScCd4 crystal.

Results
distance to the lowest polymorph of the same formula = 1 meV/atom

The structure in POSCAR format:
```
PrScCd4
1.0
3.3105 0.0000 0.0000
0.0000 4.9964 0.0000
-0.0379 0.0000 8.7494
Pr Sc Cd
1 1 4
Cartesian
0.0000 0.0000 0.0000 Pr
-0.0189 2.4982 4.3747 Sc
1.6188 0.0000 5.7556 Cd
1.6147 2.4982 7.1816 Cd
1.6539 0.0000 2.9938 Cd
1.6579 2.4982 1.5678 Cd
```


Record 2
DFT (PBE-GGA) results for a relaxed Pr2ScCd2 crystal.

The structure in POSCAR format:
```
Pr2ScCd2
1.0
-3.2226 7.3809 3.0973
3.2226 -7.3809 3.0973
3.2226 7.3809 -3.0973
Pr Sc Cd
4 2 4
Cartesian
0.7294 1.7113 0.0000 Pr
3.9521 5.6696 0.0000 Pr
-0.7294 1.7113 3.0973 Pr
2.4932 5.6696 3.0973 Pr
3.2226 0.0000 1.5486 Sc
0.0000 7.3809 1.5486 Sc
4.0551 2.4277 0.0000 Cd
0.8325 4.9532 0.0000 Cd
2.3901 2.4277 3.0973 Cd
-0.8325 4.9532 3.0973 Cd
```


Record 3
DFT (PBE-GGA) results for a relaxed PrScCd2 crystal.

Results
distance to the lowest polymorph of the same formula = 0 meV/atom

The structure in POSCAR format:
```
PrScCd2
1.0
3.6301 0.0000 0.0000
0.0000 3.6301 0.0000
0.0000 0.0000 7.7432
Pr Sc Cd
1 1 2
Cartesian
0.0000 0.0000 0.0000 Pr
0.0000 0.0000 3.8716 Sc
1.8151 1.8151 2.2104 Cd
1.8151 1.8151 5.5328 Cd
```


Record 4
DFT (PBE-GGA) results for a relaxed PrSc2Cd crystal.

Results
distance to the lowest polymorph of the same formula = 111 meV/atom

The structure in POSCAR format:
```
PrSc2Cd
1.0
3.4440 0.0000 0.0000
-1.7220 2.9826 0.0000
0.0000 0.0000 31.3372
Pr Sc Cd
3 6 3
Cartesian
0.0000 0.0000 0.0000 Pr
0.0000 1.9884 20.8915 Pr
1.7220 0.9942 10.4457 Pr
0.0000 0.0000 18.0115 Sc
0.0000 0.0000 23.7521 Sc
0.0000 1.9884 7.5658 Sc
0.0000 1.9884 13.3063 Sc
1.7220 0.9942 2.8606 Sc
1.7220 0.9942 28.4572 Sc
0.0000 0.0000 5.2041 Cd
0.0000 1.9884 26.0956 Cd
1.7220 0.9942 15.6498 Cd
```


Record 5
DFT (PBE-GGA) results for a relaxed PrScCd crystal.

Results
distance to the lowest polymorph of the same formula = 311 meV/atom

The structure in POSCAR format:
```
PrScCd
1.0
5.0686 0.0000 0.0000
0.0000 5.0686 0.0000
0.0000 0.0000 7.2293
Pr Sc Cd
2 2 2
Cartesian
1.2672 3.8015 0.0000 Pr
3.8015 1.2672 0.0000 Pr
1.2672 3.8015 3.6147 Sc
3.8015 1.2672 3.6147 Sc
1.2672 1.2672 2.0378 Cd
3.8015 3.8015 5.1916 Cd
```


Record 6
DFT (PBE-GGA) results for a relaxed PrScCd crystal.

Results
distance to the lowest polymorph of the same formula = 0 meV/atom

The structure in POSCAR format:
```
PrScCd
1.0
3.5389 0.0000 0.0000
0.0000 3.5389 0.0000
0.0000 0.0000 13.0200
Pr Sc Cd
2 2 2
Cartesian
0.0000 0.0000 0.0000 Pr
1.7695 1.7695 6.5100 Pr
0.0000 0.0000 4.1035 Sc
1.7695 1.7695 10.6135 Sc
0.0000 0.0000 8.8577 Cd
1.7695 1.7695 2.3477 Cd
```


Record 7
DFT (PBE-GGA) results for a relaxed Pr2ScCd4 crystal.

The structure in POSCAR format:
```
Pr2ScCd4
1.0
2.6242 1.5151 8.5646
-2.6242 1.5151 8.5646
0.0000 -3.0302 8.5646
Pr Sc Cd
2 1 4
Cartesian
0.0000 0.0000 6.4219 Pr
0.0000 0.0000 19.2720 Pr
0.0000 0.0000 0.0000 Sc
0.0000 0.0000 3.1844 Cd
0.0000 0.0000 9.6344 Cd
0.0000 0.0000 16.0595 Cd
0.0000 0.0000 22.5094 Cd
```


Record 8
DFT (PBE-GGA) results for a relaxed Pr2ScCd3 crystal.

The structure in POSCAR format:
```
Pr2ScCd3
1.0
3.6225 0.0000 0.0000
0.0000 3.6225 0.0000
0.0000 0.0000 12.1851
Pr Sc Cd
2 1 3
Cartesian
0.0000 0.0000 2.2107 Pr
0.0000 0.0000 9.9745 Pr
0.0000 0.0000 6.0926 Sc
1.8113 1.8113 0.0000 Cd
1.8113 1.8113 4.4376 Cd
1.8113 1.8113 7.7476 Cd
```


Record 9
DFT (PBE-GGA) results for a relaxed PrScCd crystal.

Results
distance to the lowest polymorph of the same formula = 86 meV/atom

The structure in POSCAR format:
```
PrScCd
1.0
5.1334 0.0000 0.0000
-2.5667 4.4456 0.0000
0.0000 0.0000 3.6908
Pr Sc Cd
1 1 1
Cartesian
0.0000 0.0000 0.0000 Pr
0.0000 2.9638 1.8454 Sc
2.5667 1.4819 1.8454 Cd
```


Record 10
DFT (PBE-GGA) results for a relaxed Pr2ScCd6 crystal.

The structure in POSCAR format:
```
Pr2ScCd6
1.0
8.7508 0.0000 0.0000
-4.3754 7.5784 0.0000
0.0000 0.0000 3.3762
Pr Sc Cd
2 1 6
Cartesian
0.0000 5.0523 0.0000 Pr
4.3754 2.5261 0.0000 Pr
0.0000 0.0000 0.0000 Sc
-1.4228 2.4644 1.6881 Cd
-2.9526 5.1141 1.6881 Cd
2.8456 0.0000 1.6881 Cd
1.4228 2.4644 1.6881 Cd
5.9052 0.0000 1.6881 Cd
2.9526 5.1141 1.6881 Cd
```


Record 11
DFT (PBE-GGA) results for a relaxed PrScCd2 crystal.

Results
distance to the lowest polymorph of the same formula = 17 meV/atom

The structure in POSCAR format:
```
PrScCd2
1.0
7.4533 0.0000 0.0000
0.0000 7.4533 0.0000
0.0000 0.0000 7.4533
Pr Sc Cd
4 4 8
Cartesian
0.0000 0.0000 0.0000 Pr
0.0000 3.7267 3.7267 Pr
3.7267 0.0000 3.7267 Pr
3.7267 3.7267 0.0000 Pr
0.0000 0.0000 3.7267 Sc
0.0000 3.7267 0.0000 Sc
3.7267 0.0000 0.0000 Sc
3.7267 3.7267 3.7267 Sc
1.8633 1.8633 1.8633 Cd
1.8633 1.8633 5.5900 Cd
1.8633 5.5900 1.8633 Cd
1.8633 5.5900 5.5900 Cd
5.5900 1.8633 1.8633 Cd
5.5900 1.8633 5.5900 Cd
5.5900 5.5900 1.8633 Cd
5.5900 5.5900 5.5900 Cd
```


Record 12
DFT (PBE-GGA) results for a relaxed PrSc2Cd crystal.

Results
distance to the lowest polymorph of the same formula = 43 meV/atom

The structure in POSCAR format:
```
PrSc2Cd
1.0
4.6999 0.0000 0.0000
0.0000 4.6999 0.0000
0.0000 0.0000 4.7235
Pr Sc Cd
1 2 1
Cartesian
0.0000 0.0000 0.0000 Pr
0.0000 2.3499 2.3618 Sc
2.3499 0.0000 2.3618 Sc
2.3499 2.3499 0.0000 Cd
```


no.,electronic total energy (eV per atom),formation enthalpy at 0 K (eV/atom),total magnetization (μB per formula unit)
1,-2.736,-0.274,0.005
2,-3.538,0.006,0.001
3,-3.529,-0.294,0.410
4,-4.588,0.001,0.001
5,-3.866,0.143,0.000
6,-4.177,-0.168,0.531
7,-2.915,-0.122,0.000
8,-3.399,-0.293,0.494
9,-4.091,-0.082,0.003
10,-2.667,-0.291,0.431
11,-3.513,-0.278,0.540
12,-4.656,-0.067,0.750